No. 1
VASP calculation (GGA-PBEsol) on a relaxed structure of Be2Ru.

Unit cell a=4.552 b=4.552 c=6.083 alpha=90.00 beta=90.00 gamma=90.00
Positions (direct):
Be1 0.179 0.321 0.000
Be2 0.179 0.679 0.500
Be3 0.321 0.179 0.500
Be4 0.321 0.821 0.000
Be5 0.679 0.179 0.000
Be6 0.679 0.821 0.500
Be7 0.821 0.321 0.500
Be8 0.821 0.679 0.000
Ru1 0.000 0.000 0.250
Ru2 0.000 0.000 0.750
Ru3 0.500 0.500 0.250
Ru4 0.500 0.500 0.750

## Properties
space group	I4/mcm, No. 140
E above lowest polymorph	0.367	eV/atom
crystal system	tetragonal

---

No. 2
VASP calculation (GGA-PBEsol) on a relaxed structure of FeTcCl2.

Unit cell a=6.000 b=6.000 c=6.000 alpha=90.00 beta=90.00 gamma=90.00
Positions (direct):
Fe1 0.000 0.000 0.000
Fe2 0.000 0.500 0.500
Fe3 0.500 0.000 0.500
Fe4 0.500 0.500 0.000
Tc1 0.000 0.000 0.500
Tc2 0.000 0.500 0.000
Tc3 0.500 0.000 0.000
Tc4 0.500 0.500 0.500
Cl1 0.250 0.250 0.250
Cl2 0.250 0.250 0.750
Cl3 0.250 0.750 0.250
Cl4 0.250 0.750 0.750
Cl5 0.750 0.250 0.250
Cl6 0.750 0.250 0.750
Cl7 0.750 0.750 0.250
Cl8 0.750 0.750 0.750

## Properties
energy relative to the elements, uncorrected	0.6915	eV per atom
space group	Fm-3m, No. 225
E above lowest polymorph	0.112	eV/atom
crystal system	cubic

---

No. 3
VASP calculation (GGA-PBEsol) on a relaxed structure of CrSbSe2Br.

Unit cell a=4.878 b=4.878 c=4.785 alpha=90.00 beta=90.00 gamma=90.00
Positions (direct):
Cr1 0.000 0.000 0.000
Sb1 0.500 0.500 0.500
Se1 0.000 0.500 0.000
Se2 0.500 0.000 0.000
Br1 0.000 0.000 0.500

## Properties
energy relative to the elements, uncorrected	0.0650	eV per atom
space group	P4/mmm, No. 123
crystal system	tetragonal

---

No. 4
VASP calculation (GGA-PBEsol) on a relaxed structure of BeCu2As.

Unit cell a=2.701 b=2.701 c=23.434 alpha=90.00 beta=90.00 gamma=120.00
Positions (direct):
Be1 0.000 0.000 0.000
Be2 0.333 0.667 0.667
Be3 0.667 0.333 0.333
Cu1 0.000 0.000 0.260
Cu2 0.000 0.000 0.740
Cu3 0.333 0.667 0.407
Cu4 0.333 0.667 0.926
Cu5 0.667 0.333 0.074
Cu6 0.667 0.333 0.593
As1 0.000 0.000 0.500
As2 0.333 0.667 0.167
As3 0.667 0.333 0.833

## Properties
space group	R-3m, No. 166
crystal system	trigonal
raw total energy	-4.249	eV per atom

---

No. 5
VASP calculation (GGA-PBEsol) on a relaxed structure of K2ScCo.

Unit cell a=4.133 b=4.133 c=5.996 alpha=90.00 beta=90.00 gamma=90.00
Positions (direct):
K1 0.000 0.500 0.000
K2 0.500 0.000 0.000
Sc1 0.000 0.000 0.500
Co1 0.500 0.500 0.500

## Properties
space group	P4/mmm, No. 123
E above lowest polymorph	0.000	eV/atom
crystal system	tetragonal

---

No. 6
VASP calculation (GGA-PBEsol) on a relaxed structure of CsAsOF4.

Unit cell a=5.312 b=6.304 c=14.914 alpha=90.00 beta=104.67 gamma=90.00
Positions (direct):
Cs1 0.146 0.126 0.151
Cs2 0.146 0.374 0.651
Cs3 0.854 0.626 0.349
Cs4 0.854 0.874 0.849
As1 0.498 0.611 0.077
As2 0.498 0.889 0.577
As3 0.502 0.111 0.423
As4 0.502 0.389 0.923
O1 0.301 0.092 0.505
O2 0.301 0.408 0.005
O3 0.699 0.592 0.995
O4 0.699 0.908 0.495
F1 0.293 0.616 0.155
F2 0.293 0.884 0.655
F3 0.298 0.193 0.855
F4 0.298 0.307 0.355
F5 0.306 0.675 0.517
F6 0.306 0.825 0.017
F7 0.313 0.583 0.845
F8 0.313 0.917 0.345
F9 0.687 0.083 0.655
F10 0.687 0.417 0.155
F11 0.694 0.175 0.983
F12 0.694 0.325 0.483
F13 0.702 0.693 0.645
F14 0.702 0.807 0.145
F15 0.707 0.116 0.345
F16 0.707 0.384 0.845

## Properties
energy relative to the elements, uncorrected	-2.2894	eV per atom
space group	P2_1/c, No. 14
crystal system	monoclinic